[1]
This record from Alexandria via LeMat-Bulk describes a relaxed structure of SeIO4. The functional is PBE.

Cell: 5.2201 9.0161 5.3191 Å, 90.00 99.97 90.00°
Space group P2/c (No. 13)
Inequivalent atoms, fractional coordinates:
Se1 0.0000 0.2052 0.2500
I1 0.5000 0.3002 0.7500
O1 0.1774 0.3377 0.4551
O2 0.2012 0.1166 0.0981

Properties
The value obtained for the energy above the most stable polymorph in this dataset is 0 meV per atom.

=====

[2]
This record from Alexandria via LeMat-Bulk describes a relaxed structure of Se2IO2. The functional is PBE.

Cell: 8.5009 8.5009 3.4808 Å, 90.00 90.00 90.00°
Space group P4/mbm (No. 127)
Inequivalent atoms, fractional coordinates:
Se1 0.2493 0.2507 0.0000
I1 0.0000 0.0000 0.0000
O1 0.1809 0.3191 0.5000

Properties
The value obtained for the energy above the most stable polymorph in this dataset is 0 meV per atom.

=====

[3]
This record from Alexandria via LeMat-Bulk describes a relaxed structure of Se2IO6. The functional is PBE.

Cell: 13.4238 9.8797 5.6838 Å, 90.00 90.17 90.00°
Space group C2/c (No. 15)
Inequivalent atoms, fractional coordinates:
Se1 0.2249 0.0878 0.1284
I1 0.0000 0.4034 0.2500
O1 0.0895 0.4755 0.6240
O2 0.1596 0.2278 0.1579
O3 0.1612 0.0158 0.8671

Properties
The calculated total energy is -168.59 eV for the cell shown.

=====

Copy entry 3 word for word.
This record from Alexandria via LeMat-Bulk describes a relaxed structure of Se2IO6. The functional is PBE.

Cell: 13.4238 9.8797 5.6838 Å, 90.00 90.17 90.00°
Space group C2/c (No. 15)
Inequivalent atoms, fractional coordinates:
Se1 0.2249 0.0878 0.1284
I1 0.0000 0.4034 0.2500
O1 0.0895 0.4755 0.6240
O2 0.1596 0.2278 0.1579
O3 0.1612 0.0158 0.8671

Properties
The calculated total energy is -168.59 eV for the cell shown.